Here is an optimized crystal structure of Li8PrCu4 from Alexandria. Energies are from PBE-GGA.

a = 9.145 Å, b = 9.145 Å, c = 5.105 Å
α = 90.00°, β = 90.00°, γ = 90.00°
Space group I4/mmm (No. 139)
Asymmetric unit:
Li1 0.000 0.228 0.000 [8 per cell]
Li2 0.000 0.349 0.500 [8 per cell]
Pr1 0.000 0.000 0.500 [2 per cell]
Cu1 0.250 0.250 0.250 [8 per cell]

Values from the calculation:
Formation enthalpy at 0 K: -4 meV/atom
Total DFT energy (no corrections): -36.53 eV/f.u.
Total magnetization: 0.0 Bohr magnetons per cell
D(E_F): 19.5 states/eV/cell